(1)
Below is an optimized crystal structure of CsAg3S, with properties calculated at the PBE-GGA level.

Computed properties:
**Formation energy from raw total energies**: 1.496 eV/atom
**Total energy**: -0.0445 hartree per atom

Unit cell a=5.8875 b=5.8875 c=5.8875 alpha=90.00 beta=90.00 gamma=90.00
Last column: nearest neighbours and their distance in Å.
Positions (direct):
Cs (0.0000, 0.0000, 0.0000)  6 Ag 2.94
Ag (0.0000, 0.0000, 0.5000)  2 Cs 2.94
Ag (0.0000, 0.5000, 0.0000)  2 Cs 2.94
Ag (0.5000, 0.0000, 0.0000)  2 Cs 2.94
S (0.5000, 0.5000, 0.5000)  12 Ag 4.16


(2)
Below is an optimized crystal structure of Pr4TlGe, with properties calculated at the PBE-GGA level.

Computed properties:
**Total energy**: -0.1744 hartree per atom
**Energy relative to the elements**: -0.40 eV/atom

Unit cell a=8.3785 b=8.3785 c=6.2128 alpha=100.84 beta=100.84 gamma=114.13
Last column: nearest neighbours and their distance in Å.
Positions (direct):
Pr (0.0707, 0.7069, 0.9337)  2 Ge 3.13-3.15, 2 Tl 3.35-3.43, 1 Pr 3.49
Pr (0.2113, 0.3704, 0.6407)  2 Ge 3.13-3.15, 1 Tl 3.33
Pr (0.2931, 0.9293, 0.5663)  2 Ge 3.13-3.15, 2 Tl 3.35-3.43, 1 Pr 3.49
Pr (0.3704, 0.2113, 0.1407)  2 Ge 3.13-3.15, 1 Tl 3.33
Pr (0.6296, 0.7887, 0.8593)  2 Ge 3.13-3.15, 1 Tl 3.33
Pr (0.7069, 0.0707, 0.4337)  2 Ge 3.13-3.15, 2 Tl 3.35-3.43, 1 Pr 3.49
Pr (0.7887, 0.6296, 0.3593)  2 Ge 3.13-3.15, 1 Tl 3.33
Pr (0.9293, 0.2931, 0.0663)  2 Ge 3.13-3.15, 2 Tl 3.35-3.43, 1 Pr 3.49
Tl (0.3795, 0.6205, 0.2500)  10 Pr 3.33-3.65
Tl (0.6205, 0.3795, 0.7500)  10 Pr 3.33-3.65
Ge (0.0018, 0.9982, 0.2500)  2 Ge 3.11, 8 Pr 3.13-3.15
Ge (0.9982, 0.0018, 0.7500)  2 Ge 3.11, 8 Pr 3.13-3.15


(3)
Below is an optimized crystal structure of Li3BeCu, with properties calculated at the PBE-GGA level.

Computed properties:
**Total energy**: -0.0760 hartree per atom
**Energy relative to the elements**: 0.65 eV/atom

Unit cell a=4.4051 b=4.4051 c=4.4051 alpha=90.00 beta=90.00 gamma=90.00
Last column: nearest neighbours and their distance in Å.
Positions (direct):
Li (0.0000, 0.0000, 0.5000)  2 Be 2.20
Li (0.0000, 0.5000, 0.0000)  2 Be 2.20
Li (0.5000, 0.0000, 0.0000)  2 Be 2.20
Be (0.0000, 0.0000, 0.0000)  6 Li 2.20
Cu (0.5000, 0.5000, 0.5000)  12 Li 3.11


(4)
Below is an optimized crystal structure of TmFeCoP2, with properties calculated at the PBE-GGA level.

Computed properties:
**Total energy**: -0.2637 hartree per atom
**Energy relative to the elements**: -1.00 eV/atom

Unit cell a=3.7737 b=3.7737 c=9.4185 alpha=90.00 beta=90.00 gamma=90.00
Last column: nearest neighbours and their distance in Å.
Positions (direct):
Tm (0.0000, 0.0000, 0.0000)  8 P 2.92, 4 Fe 3.02, 4 Co 3.02
Tm (0.5000, 0.5000, 0.5000)  8 P 2.92, 4 Fe 3.02, 4 Co 3.02
Fe (0.0000, 0.5000, 0.2500)  4 P 2.23
Fe (0.5000, 0.0000, 0.7500)  4 P 2.23
Co (0.0000, 0.5000, 0.7500)  4 P 2.23
Co (0.5000, 0.0000, 0.2500)  4 P 2.23
P (0.0000, 0.0000, 0.3752)  2 Fe 2.23, 2 Co 2.23, 1 P 2.35
P (0.0000, 0.0000, 0.6248)  2 Fe 2.23, 2 Co 2.23, 1 P 2.35
P (0.5000, 0.5000, 0.1248)  2 Fe 2.23, 2 Co 2.23, 1 P 2.35
P (0.5000, 0.5000, 0.8752)  2 Fe 2.23, 2 Co 2.23, 1 P 2.35


(5)
Below is an optimized crystal structure of TlCdH6Ir2, with properties calculated at the PBE-GGA level.

Computed properties:
**Total energy**: -0.1479 hartree per atom

Unit cell a=7.4196 b=7.4196 c=4.8274 alpha=99.55 beta=99.55 gamma=118.92
Last column: nearest neighbours and their distance in Å.
Positions (direct):
Tl (0.2181, 0.7819, 0.7500)  2 H 2.38
Tl (0.7819, 0.2181, 0.2500)  2 H 2.38
Cd (0.4035, 0.5965, 0.2500)  6 H 2.54-2.75, 2 Ir 2.81
Cd (0.5965, 0.4035, 0.7500)  6 H 2.54-2.75, 2 Ir 2.81
H (0.0075, 0.8701, 0.4387)  1 Ir 1.60, 1 H 1.75
H (0.0407, 0.3869, 0.8636)  1 Ir 1.61
H (0.1299, 0.9925, 0.0613)  1 Ir 1.60, 1 H 1.75
H (0.2063, 0.2200, 0.3402)  1 H 1.75, 2 Ir 1.75-1.83
H (0.2200, 0.2063, 0.8402)  1 H 1.75, 2 Ir 1.75-1.83
H (0.3869, 0.0407, 0.3636)  1 Ir 1.61
H (0.6131, 0.9593, 0.6364)  1 Ir 1.61
H (0.7800, 0.7937, 0.1598)  1 H 1.75, 2 Ir 1.75-1.83
H (0.7937, 0.7800, 0.6598)  1 H 1.75, 2 Ir 1.75-1.83
H (0.8701, 0.0075, 0.9387)  1 Ir 1.60, 1 H 1.75
H (0.9593, 0.6131, 0.1364)  1 Ir 1.61
H (0.9925, 0.1299, 0.5613)  1 Ir 1.60, 1 H 1.75
Ir (0.1858, 0.3758, 0.6550)  3 H 1.60-1.75
Ir (0.3758, 0.1858, 0.1550)  3 H 1.60-1.75
Ir (0.6242, 0.8142, 0.8450)  3 H 1.60-1.75
Ir (0.8142, 0.6242, 0.3450)  3 H 1.60-1.75


(6)
Below is an optimized crystal structure of Nd12Hg6Sb, with properties calculated at the PBE-GGA level.

Computed properties:
**Formation energy from raw total energies**: -0.135 eV/atom
**Total energy**: -0.1271 hartree per atom

Unit cell a=8.9949 b=8.9949 c=8.9949 alpha=99.60 beta=99.60 gamma=99.60
Last column: nearest neighbours and their distance in Å.
Positions (direct):
Nd (0.0613, 0.9279, 0.6695)  2 Hg 3.06-3.08, 1 Sb 3.10
Nd (0.0721, 0.3305, 0.9387)  2 Hg 3.06-3.08, 1 Sb 3.10
Nd (0.1817, 0.5697, 0.4264)  4 Hg 3.07-3.31
Nd (0.3305, 0.9387, 0.0721)  2 Hg 3.06-3.08, 1 Sb 3.10
Nd (0.4264, 0.1817, 0.5697)  4 Hg 3.07-3.31
Nd (0.4303, 0.5736, 0.8183)  4 Hg 3.07-3.31
Nd (0.5697, 0.4264, 0.1817)  4 Hg 3.07-3.31
Nd (0.5736, 0.8183, 0.4303)  4 Hg 3.07-3.31
Nd (0.6695, 0.0613, 0.9279)  2 Hg 3.06-3.08, 1 Sb 3.10
Nd (0.8183, 0.4303, 0.5736)  4 Hg 3.07-3.31
Nd (0.9279, 0.6695, 0.0613)  2 Hg 3.06-3.08, 1 Sb 3.10
Nd (0.9387, 0.0721, 0.3305)  2 Hg 3.06-3.08, 1 Sb 3.10
Hg (0.1357, 0.3068, 0.6127)  6 Nd 3.06-3.31
Hg (0.3068, 0.6127, 0.1357)  6 Nd 3.06-3.31
Hg (0.3873, 0.8643, 0.6932)  6 Nd 3.06-3.31
Hg (0.6127, 0.1357, 0.3068)  6 Nd 3.06-3.31
Hg (0.6932, 0.3873, 0.8643)  6 Nd 3.06-3.31
Hg (0.8643, 0.6932, 0.3873)  6 Nd 3.06-3.31
Sb (0.0000, 0.0000, 0.0000)  6 Nd 3.10


(7)
Below is an optimized crystal structure of RhIN3, with properties calculated at the PBE-GGA level.

Computed properties:
**Formation energy from raw total energies**: 1.771 eV/atom
**Total energy**: -0.1839 hartree per atom

Unit cell a=3.9576 b=3.9576 c=3.9576 alpha=90.00 beta=90.00 gamma=90.00
Last column: nearest neighbours and their distance in Å.
Positions (direct):
Rh (0.0000, 0.0000, 0.0000)  6 N 1.98
I (0.5000, 0.5000, 0.5000)  12 N 2.80
N (0.0000, 0.0000, 0.5000)  2 Rh 1.98
N (0.0000, 0.5000, 0.0000)  2 Rh 1.98
N (0.5000, 0.0000, 0.0000)  2 Rh 1.98


(8)
Below is an optimized crystal structure of V2RuW, with properties calculated at the PBE-GGA level.

Computed properties:
**Total energy**: -0.3799 hartree per atom
**Energy relative to the elements**: -0.22 eV/atom

Unit cell a=4.3113 b=4.3113 c=3.0417 alpha=90.00 beta=90.00 gamma=90.00
Last column: nearest neighbours and their distance in Å.
Positions (direct):
V (0.0000, 0.5000, 0.0000)  4 W 2.64, 4 Ru 2.64
V (0.5000, 0.0000, 0.0000)  4 W 2.64, 4 Ru 2.64
Ru (0.0000, 0.0000, 0.5000)  8 V 2.64
W (0.5000, 0.5000, 0.5000)  8 V 2.64


(9)
Below is an optimized crystal structure of Ga2Hg2IBr, with properties calculated at the PBE-GGA level.

Computed properties:
**Formation energy from raw total energies**: -0.275 eV/atom
**Total energy**: -0.0706 hartree per atom

Unit cell a=4.4850 b=9.7952 c=9.3855 alpha=90.00 beta=90.00 gamma=90.00
Last column: nearest neighbours and their distance in Å.
Positions (direct):
Ga (0.0000, 0.0189, 0.0000)  1 Br 2.95, 1 Hg 3.13, 4 I 3.24-3.26
Ga (0.0000, 0.9811, 0.5000)  1 Br 2.95, 1 Hg 3.13, 4 I 3.24-3.26
Ga (0.5000, 0.3203, 0.2321)  2 Br 2.90, 3 Hg 2.97-3.12, 1 I 3.19
Ga (0.5000, 0.6797, 0.7321)  2 Br 2.90, 3 Hg 2.97-3.12, 1 I 3.19
Hg (0.0000, 0.2989, 0.4624)  3 Ga 3.12-3.13, 2 Hg 3.27
Hg (0.0000, 0.7011, 0.9624)  3 Ga 3.12-3.13, 2 Hg 3.27
Hg (0.5000, 0.3781, 0.7016)  1 Ga 2.97, 2 Hg 3.27
Hg (0.5000, 0.6219, 0.2016)  1 Ga 2.97, 2 Hg 3.27
I (0.5000, 0.0054, 0.7479)  5 Ga 3.19-3.26
I (0.5000, 0.9946, 0.2479)  5 Ga 3.19-3.26
Br (0.0000, 0.3181, 0.0367)  3 Ga 2.90-2.95
Br (0.0000, 0.6819, 0.5367)  3 Ga 2.90-2.95


(10)
Below is an optimized crystal structure of Ac3Cu2AgO9, with properties calculated at the PBE-GGA level.

Computed properties:
**Formation energy from raw total energies**: -1.863 eV/atom
**Total energy**: -0.2351 hartree per atom

Unit cell a=5.6586 b=5.6586 c=6.9779 alpha=90.00 beta=90.00 gamma=120.00
Last column: nearest neighbours and their distance in Å.
Positions (direct):
Ac (0.0000, 0.0000, 0.0000)  12 O 2.81-2.83
Ac (0.3333, 0.6667, 0.6750)  12 O 2.80-2.92
Ac (0.6667, 0.3333, 0.3250)  12 O 2.80-2.92
Cu (0.3333, 0.6667, 0.1604)  6 O 1.94-1.98
Cu (0.6667, 0.3333, 0.8396)  6 O 1.94-1.98
Ag (0.0000, 0.0000, 0.5000)  6 O 2.09
O (0.0000, 0.5000, 0.0000)  2 Cu 1.98
O (0.1722, 0.3443, 0.3226)  1 Cu 1.94, 1 Ag 2.09
O (0.1722, 0.8278, 0.3226)  1 Cu 1.94, 1 Ag 2.09
O (0.3443, 0.1722, 0.6774)  1 Cu 1.94, 1 Ag 2.09
O (0.5000, 0.0000, 0.0000)  2 Cu 1.98
O (0.5000, 0.5000, 0.0000)  2 Cu 1.98
O (0.6557, 0.8278, 0.3226)  1 Cu 1.94, 1 Ag 2.09
O (0.8278, 0.1722, 0.6774)  1 Cu 1.94, 1 Ag 2.09
O (0.8278, 0.6557, 0.6774)  1 Cu 1.94, 1 Ag 2.09


(11)
Below is an optimized crystal structure of Tl5In5Sn2, with properties calculated at the PBE-GGA level.

Computed properties:
**Total energy**: -0.1019 hartree per atom
**Energy relative to the elements**: 0.02 eV/atom

Unit cell a=8.6043 b=8.6043 c=9.3955 alpha=121.10 beta=121.10 gamma=36.71
Last column: nearest neighbours and their distance in Å.
Positions (direct):
Tl (0.0000, 0.0000, 0.0000)  6 In 3.33-3.68, 2 Tl 3.42, 4 Sn 3.69
Tl (0.0869, 0.0869, 0.4231)  5 In 3.32-3.62, 3 Tl 3.42-3.65, 3 Sn 3.47-3.53
Tl (0.1784, 0.1784, 0.8617)  6 In 3.31-3.63, 4 Tl 3.54-3.65, 1 Sn 3.60
Tl (0.8216, 0.8216, 0.1383)  6 In 3.31-3.63, 4 Tl 3.54-3.65, 1 Sn 3.60
Tl (0.9131, 0.9131, 0.5769)  5 In 3.32-3.62, 3 Tl 3.42-3.65, 3 Sn 3.47-3.53
In (0.2658, 0.2658, 0.3088)  3 Sn 3.17-3.31, 1 In 3.22, 2 Tl 3.51
In (0.4276, 0.4276, 0.1088)  2 Sn 3.16-3.19, 1 In 3.19, 5 Tl 3.31-3.42
In (0.5000, 0.5000, 0.5000)  4 In 3.19-3.22, 4 Tl 3.32
In (0.5724, 0.5724, 0.8912)  2 Sn 3.16-3.19, 1 In 3.19, 5 Tl 3.31-3.42
In (0.7342, 0.7342, 0.6912)  3 Sn 3.17-3.31, 1 In 3.22, 2 Tl 3.51
Sn (0.3418, 0.3418, 0.7156)  5 In 3.16-3.31, 3 Tl 3.47-3.53
Sn (0.6582, 0.6582, 0.2844)  5 In 3.16-3.31, 3 Tl 3.47-3.53


(12)
Below is an optimized crystal structure of KTe2Rh, with properties calculated at the PBE-GGA level.

Computed properties:
**Formation energy from raw total energies**: 0.370 eV/atom
**Total energy**: -0.1217 hartree per atom

Unit cell a=7.4364 b=7.4364 c=7.4364 alpha=90.00 beta=90.00 gamma=90.00
Last column: nearest neighbours and their distance in Å.
Positions (direct):
K (0.0000, 0.0000, 0.0000)  4 Te 3.22, 4 Rh 3.22
K (0.0000, 0.5000, 0.5000)  4 Te 3.22, 4 Rh 3.22
K (0.5000, 0.0000, 0.5000)  4 Te 3.22, 4 Rh 3.22
K (0.5000, 0.5000, 0.0000)  4 Te 3.22, 4 Rh 3.22
Te (0.0000, 0.0000, 0.5000)  4 Te 3.22, 4 Rh 3.22
Te (0.0000, 0.5000, 0.0000)  4 Te 3.22, 4 Rh 3.22
Te (0.2500, 0.2500, 0.7500)  4 K 3.22, 4 Te 3.22
Te (0.2500, 0.7500, 0.2500)  4 K 3.22, 4 Te 3.22
Te (0.5000, 0.0000, 0.0000)  4 Te 3.22, 4 Rh 3.22
Te (0.5000, 0.5000, 0.5000)  4 Te 3.22, 4 Rh 3.22
Te (0.7500, 0.2500, 0.2500)  4 K 3.22, 4 Te 3.22
Te (0.7500, 0.7500, 0.7500)  4 K 3.22, 4 Te 3.22
Rh (0.2500, 0.2500, 0.2500)  4 K 3.22, 4 Te 3.22
Rh (0.2500, 0.7500, 0.7500)  4 Te 3.22, 4 K 3.22
Rh (0.7500, 0.2500, 0.7500)  4 Te 3.22, 4 K 3.22
Rh (0.7500, 0.7500, 0.2500)  4 Te 3.22, 4 K 3.22